Entry 1:
A plane-wave DFT calculation with PBE-GGA was carried out for a relaxed Ba2SiCI crystal.

abc: 6.358 6.358 3.842
angles: 90.00 90.00 90.00
Space group P4/mmm (No. 123)
One atom of each set of equivalent atoms:
Ba 0.000 0.500 0.000
Si 0.000 0.000 0.000
C 0.000 0.000 0.500
I 0.500 0.500 0.500

Calculated values
The value obtained for the uncorrected formation energy is -0.0515 eV/atom. The volume is 31.1 Å³/atom.

***

Entry 2:
A plane-wave DFT calculation with PBE-GGA was carried out for a relaxed TbLuInAu crystal.

abc: 7.329 7.329 7.329
angles: 90.00 90.00 90.00
Space group F-43m (No. 216)
One atom of each set of equivalent atoms:
Tb 0.000 0.000 0.000
Lu 0.000 0.000 0.500
In 0.250 0.250 0.750
Au 0.250 0.250 0.250

Calculated values
The volume is 24.6 Å³/atom. As for the formation energy: -613 meV/atom.

***

Entry 3:
A plane-wave DFT calculation with PBE-GGA was carried out for a relaxed CaTl2In2Te4 crystal.

abc: 15.850 5.214 8.122
angles: 90.00 110.44 90.00
Space group C2/m (No. 12)
One atom of each set of equivalent atoms:
Ca 0.000 0.000 0.000
Tl 0.123 0.000 0.550
In 0.164 0.500 0.029
Te 0.010 0.500 0.259
Te 0.218 0.000 0.207

Calculated values
The value obtained for the uncorrected formation energy is -0.4944 eV/atom. The volume is 34.9 Å³/atom.

***

Entry 4:
A plane-wave DFT calculation with PBE-GGA was carried out for a relaxed Mn2BeHPt crystal.

abc: 3.594 3.594 3.911
angles: 90.00 90.00 90.00
Space group P4/mmm (No. 123)
One atom of each set of equivalent atoms:
Mn 0.000 0.500 0.000
Be 0.000 0.000 0.500
H 0.000 0.000 0.000
Pt 0.500 0.500 0.500

Calculated values
The volume is 10.1 Å³/atom. The calculation puts the total energy at -32.22 eV for the cell shown.

***

Entry 5:
A plane-wave DFT calculation with PBE-GGA was carried out for a relaxed TaCr2As2 crystal.

abc: 7.032 7.032 2.984
angles: 90.00 90.00 90.00
Space group P4/mbm (No. 127)
One atom of each set of equivalent atoms:
Ta 0.000 0.000 0.000
Cr 0.141 0.359 0.500
As 0.153 0.653 0.000

Calculated values
The volume is 14.8 Å³/atom. As for the formation energy: -20 meV/atom.

***

Entry 6:
A plane-wave DFT calculation with PBE-GGA was carried out for a relaxed ReTeNF2 crystal.

abc: 4.386 4.386 3.834
angles: 90.00 90.00 90.00
Space group P4/mmm (No. 123)
One atom of each set of equivalent atoms:
Re 0.000 0.000 0.000
Te 0.500 0.500 0.500
N 0.000 0.000 0.500
F 0.000 0.500 0.000

Calculated values
The value obtained for the uncorrected formation energy is -0.1121 eV/atom. The volume is 14.7 Å³/atom. For the excess energy over the best structure of this formula in the dataset, the calculation gives 0.0000 eV/atom.

***

Entry 7:
A plane-wave DFT calculation with PBE-GGA was carried out for a relaxed Cs4KTl5 crystal.

abc: 11.947 11.947 6.967
angles: 90.00 90.00 90.00
Space group I4mm (No. 107)
One atom of each set of equivalent atoms:
Cs 0.000 0.303 0.000
K 0.000 0.000 0.767
Tl 0.000 0.000 0.277
Tl 0.173 0.173 0.460

Calculated values
The volume is 49.7 Å³/atom. As for the formation energy: 2 meV/atom.

***

Entry 8:
A plane-wave DFT calculation with PBE-GGA was carried out for a relaxed Mn2Be4Si3 crystal.

abc: 3.899 6.533 7.663
angles: 93.17 94.21 95.21
Space group P-1 (No. 2)
One atom of each set of equivalent atoms:
Mn 0.070 0.375 0.109
Mn 0.408 0.742 0.643
Be 0.086 0.734 0.168
Be 0.091 0.209 0.537
Be 0.405 0.447 0.845
Be 0.440 0.905 0.379
Si 0.032 0.072 0.255
Si 0.239 0.526 0.390
Si 0.472 0.820 0.957

Calculated values
The value obtained for the uncorrected formation energy is -0.0191 eV/atom. The volume is 10.8 Å³/atom.